No. 1
Compound: CuAuC3
Source: Alexandria
Functional: PBE
Structure: optimized geometry

N(E_F) = 1.43 states/eV/f.u.
Polymorph energy (0 for the lowest one) = 0.0 meV/atom
M_tot = 0.00 μB per formula unit
Energy relative to the elements = 266.8 kJ per mole of atoms

abc: 3.886 3.886 3.886
angles: 90.00 90.00 90.00
Element x y z (fractional)
Cu1 0.000 0.000 0.000
Au1 0.500 0.500 0.500
C1 0.000 0.000 0.500
C2 0.000 0.500 0.000
C3 0.500 0.000 0.000



No. 2
Compound: Zr2NiSn2
Source: Alexandria
Functional: PBE
Structure: optimized geometry

N(E_F) = 5.16 states/eV/f.u.
Polymorph energy (0 for the lowest one) = 631.5 meV/atom
M_tot = 0.40 μB per formula unit
Energy relative to the elements = 28.7 kJ per mole of atoms

abc: 3.932 3.932 15.039
angles: 90.00 90.00 90.00
Element x y z (fractional)
Zr1 0.000 0.000 0.094
Zr2 0.000 0.000 0.906
Zr3 0.500 0.500 0.406
Zr4 0.500 0.500 0.594
Ni1 0.000 0.000 0.500
Ni2 0.500 0.500 0.000
Sn1 0.000 0.500 0.250
Sn2 0.000 0.500 0.750
Sn3 0.500 0.000 0.250
Sn4 0.500 0.000 0.750



No. 3
Compound: Pa2PW
Source: Alexandria
Functional: PBE
Structure: optimized geometry

N(E_F) = 4.60 states/eV/f.u.
M_tot = 0.00 μB per formula unit
Energy relative to the elements = 24.6 kJ per mole of atoms

abc: 3.406 3.406 26.870
angles: 90.00 90.00 120.00
Element x y z (fractional)
Pa1 0.000 0.000 0.095
Pa2 0.000 0.000 0.905
Pa3 0.333 0.667 0.572
Pa4 0.333 0.667 0.762
Pa5 0.667 0.333 0.238
Pa6 0.667 0.333 0.428
P1 0.000 0.000 0.500
P2 0.333 0.667 0.167
P3 0.667 0.333 0.833
W1 0.000 0.000 0.000
W2 0.333 0.667 0.667
W3 0.667 0.333 0.333



No. 4
Compound: CaTi2BiAs
Source: Alexandria
Functional: PBE
Structure: optimized geometry

N(E_F) = 5.43 states/eV/f.u.
M_tot = 3.77 μB per formula unit
Energy relative to the elements = 69.8 kJ per mole of atoms

abc: 5.249 5.249 5.751
angles: 90.00 90.00 90.00
Element x y z (fractional)
Ca1 0.000 0.000 0.000
Ti1 0.000 0.500 0.500
Ti2 0.500 0.000 0.500
Bi1 0.500 0.500 0.500
As1 0.500 0.500 0.000



> Which value of N(E_F) does entry 3 give?

4.60 states/eV/f.u.



> Which formula does entry 1 have?

CuAuC3